Record 1
The following is a PBE calculation of an optimized crystal structure of TaCr2Hg, from Alexandria via LeMat-Bulk.

abc: 7.1207 7.1207 5.7951
angles: 52.09 52.09 90.00
Element x y z (fractional)
Cr 0.1401 0.6250 0.2500
Cr 0.3750 0.3901 0.7500
Cr 0.8750 0.8599 0.7500
Hg 0.0000 0.0000 0.0000
Ta 0.5000 0.5000 0.0000
Cr 0.6099 0.1250 0.2500
Hg 0.7500 0.2500 0.5000
Ta 0.2500 0.7500 0.5000

Results
- E (eV/cell) = -54.93
- calculated volume (Å³/cell) = 145
- Fermi-level density of states (states/eV per atom) = 0.84
- formation energy from the elements (eV/f.u.) = 3.94

Record 2
The following is a PBE calculation of an optimized crystal structure of ZnFeC3, from Alexandria via LeMat-Bulk.

abc: 3.8278 3.8278 3.8278
angles: 90.00 90.00 90.00
Element x y z (fractional)
C 0.0000 0.5000 0.0000
C 0.0000 0.0000 0.5000
Fe 0.5000 0.5000 0.5000
C 0.5000 0.0000 0.0000
Zn 0.0000 0.0000 0.0000

Results
- E (eV/cell) = -21.61
- calculated volume (Å³/cell) = 56
- Fermi-level density of states (states/eV per atom) = 0.98
- excess energy over the best structure of this formula in the dataset (meV per atom) = 1209
- formation energy from the elements (eV/f.u.) = 15.80

Record 3
The following is a PBE calculation of an optimized crystal structure of NdPa2Ir, from Alexandria via LeMat-Bulk.

abc: 3.5791 3.5791 10.3178
angles: 80.01 80.01 60.00
Element x y z (fractional)
Pa 0.8946 0.8946 0.3162
Ir 0.5000 0.5000 0.5000
Nd 0.0000 0.0000 0.0000
Pa 0.1054 0.1054 0.6838

Results
- E (eV/cell) = -32.38
- calculated volume (Å³/cell) = 112
- Fermi-level density of states (states/eV per atom) = 2.22
- formation energy from the elements (eV/f.u.) = 0.24

Record 4
The following is a PBE calculation of an optimized crystal structure of K2LiCd, from Alexandria via LeMat-Bulk.

abc: 6.1120 6.1120 4.4521
angles: 89.99 89.99 90.07
Element x y z (fractional)
K 0.0000 0.0000 0.0000
K 0.5000 0.5000 0.0000
Li 0.5000 0.0000 0.5000
Cd 0.0000 0.5000 0.5000

Results
- E (eV/cell) = -4.67
- calculated volume (Å³/cell) = 166
- Fermi-level density of states (states/eV per atom) = 0.76
- formation energy from the elements (eV/f.u.) = 0.35

Record 5
The following is a PBE calculation of an optimized crystal structure of Rb4Pu3ZrO12, from Alexandria via LeMat-Bulk.

abc: 7.4152 7.4152 7.4152
angles: 109.47 109.47 109.47
Element x y z (fractional)
O 0.7500 0.2500 0.5000
O 0.5000 0.7500 0.2500
O 0.2500 0.5000 0.7500
Pu 0.5000 0.0000 0.5000
Pu 0.5000 0.5000 0.0000
Pu 0.0000 0.5000 0.5000
Zr 0.0000 0.0000 0.0000
Rb 0.0000 0.5000 0.0000
Rb 0.5000 0.5000 0.5000
O 0.2500 0.7500 0.5000
O 0.2527 0.0000 0.2527
O 0.2527 0.2527 0.0000
O 0.0000 0.2527 0.2527
O 0.7473 0.0000 0.7473
O 0.7500 0.5000 0.2500
O 0.5000 0.2500 0.7500
Rb 0.0000 0.0000 0.5000
O 0.7473 0.7473 0.0000
Rb 0.5000 0.0000 0.0000
O 0.0000 0.7473 0.7473

Results
- E (eV/cell) = -165.82
- calculated volume (Å³/cell) = 314
- uncorrected formation energy (meV per atom) = -2545.2
- Fermi-level density of states (states/eV per atom) = 0.62

Record 6
The following is a PBE calculation of an optimized crystal structure of V3ZnRu, from Alexandria via LeMat-Bulk.

abc: 4.5292 4.5292 4.5292
angles: 90.00 90.00 90.00
Element x y z (fractional)
Zn 0.5000 0.5000 0.5000
V 0.0000 0.0000 0.5000
V 0.5000 0.0000 0.0000
V 0.0000 0.5000 0.0000
Ru 0.0000 0.0000 0.0000

Results
- E (eV/cell) = -32.83
- calculated volume (Å³/cell) = 93
- Fermi-level density of states (states/eV per atom) = 1.33
- excess energy over the best structure of this formula in the dataset (meV per atom) = 0
- formation energy from the elements (eV/f.u.) = 5.07